Record 1
Compound: BaSc2Hg
Source: Alexandria via LeMat-Bulk
Functional: PBE
Structure: optimized geometry

Results
DFT formation energy   0.020 eV per atom
Space group   P4/mmm (123)
VASP energy   -14.8 eV per formula unit
ρ   5.89 Mg/m³
Total magnetization   0.79 μB/cell

abc: 3.6575 3.6575 9.0138
angles: 90.00 90.00 90.00
Atoms (fractional coordinates):
Ba  0.0000  0.0000  0.0000
Sc  0.5000  0.5000  0.3243
Sc  0.5000  0.5000  0.6757
Hg  0.0000  0.0000  0.5000

---

Record 2
Compound: Sm3GeAsCl
Source: Alexandria via LeMat-Bulk
Functional: PBE
Structure: optimized geometry

Results
Space group   P2_1/m (11)
VASP energy   -32.1 eV per formula unit
ρ   6.44 Mg/m³
Total magnetization   1.86 μB/cell
Formation energy from raw total energies   -1.141 eV/atom

abc: 8.3642 4.2527 9.4573
angles: 90.00 103.75 90.00
Atoms (fractional coordinates):
Sm  0.0820  0.2500  0.3459
Sm  0.2256  0.2500  0.0020
Sm  0.4057  0.7500  0.6326
Sm  0.5943  0.2500  0.3674
Sm  0.7744  0.7500  0.9980
Sm  0.9180  0.7500  0.6541
Ge  0.3156  0.7500  0.2833
Ge  0.6844  0.2500  0.7167
As  0.1622  0.2500  0.6596
As  0.8378  0.7500  0.3404
Cl  0.3939  0.7500  0.9179
Cl  0.6061  0.2500  0.0821

---

Record 3
Compound: K2VFeRh
Source: Alexandria via LeMat-Bulk
Functional: PBE
Structure: optimized geometry

Results
DFT formation energy   1.325 eV per atom
Space group   P4/mmm (123)
VASP energy   -20.5 eV per formula unit
ρ   2.68 Mg/m³
Total magnetization   6.28 μB/cell

abc: 6.2635 6.2635 4.5511
angles: 90.00 90.00 90.00
Atoms (fractional coordinates):
K  0.0000  0.5000  0.0000
K  0.5000  0.0000  0.0000
V  0.0000  0.0000  0.5000
Fe  0.5000  0.5000  0.5000
Rh  0.0000  0.0000  0.0000

---

Record 4
Compound: La2ReH2
Source: Alexandria via LeMat-Bulk
Functional: PBE
Structure: optimized geometry

Results
Space group   I4/mmm (139)
VASP energy   -29.2 eV per formula unit
ρ   8.67 Mg/m³
Total magnetization   0.00 μB/cell

abc: 7.3777 7.3777 7.3777
angles: 151.84 151.84 40.25
Atoms (fractional coordinates):
La  0.1317  0.1317  0.0000
La  0.8683  0.8683  0.0000
Re  0.5000  0.5000  0.0000
H  0.2500  0.7500  0.5000
H  0.7500  0.2500  0.5000

---

Record 5
Compound: Pb3AuSe
Source: Alexandria via LeMat-Bulk
Functional: PBE
Structure: optimized geometry

Results
Space group   Pm-3m (221)
VASP energy   -16.7 eV per formula unit
ρ   8.77 Mg/m³
Total magnetization   0.00 μB/cell
Formation energy from raw total energies   0.240 eV/atom

abc: 5.5382 5.5382 5.5382
angles: 90.00 90.00 90.00
Atoms (fractional coordinates):
Pb  0.0000  0.0000  0.5000
Pb  0.0000  0.5000  0.0000
Pb  0.5000  0.0000  0.0000
Au  0.0000  0.0000  0.0000
Se  0.5000  0.5000  0.5000

---

Record 6
Compound: RbBi2
Source: Alexandria via LeMat-Bulk
Functional: PBE
Structure: optimized geometry

Results
DFT formation energy   -0.235 eV per atom
Space group   I4/mmm (139)
VASP energy   -9.4 eV per formula unit
ρ   6.92 Mg/m³
Total magnetization   0.00 μB/cell

abc: 7.3196 7.3196 7.3196
angles: 146.20 146.20 48.55
Atoms (fractional coordinates):
Rb  0.0000  0.0000  0.0000
Bi  0.2948  0.2948  0.0000
Bi  0.7052  0.7052  0.0000

---

Record 7
Compound: Pm6Er12Mg
Source: Alexandria via LeMat-Bulk
Functional: PBE
Structure: optimized geometry

Results
DFT formation energy   0.130 eV per atom
Space group   R-3 (148)
VASP energy   -82.4 eV per formula unit
ρ   7.93 Mg/m³
Total magnetization   0.00 μB/cell

abc: 8.4714 8.4714 8.4714
angles: 88.84 88.84 88.84
Atoms (fractional coordinates):
Pm  0.1962  0.5926  0.7605
Pm  0.2395  0.8038  0.4074
Pm  0.4074  0.2395  0.8038
Pm  0.5926  0.7605  0.1962
Pm  0.7605  0.1962  0.5926
Pm  0.8038  0.4074  0.2395
Er  0.0386  0.2771  0.9374
Er  0.0626  0.9614  0.7229
Er  0.1400  0.3082  0.4862
Er  0.2771  0.9374  0.0386
Er  0.3082  0.4862  0.1400
Er  0.4862  0.1400  0.3082
Er  0.5138  0.8600  0.6918
Er  0.6918  0.5138  0.8600
Er  0.7229  0.0626  0.9614
Er  0.8600  0.6918  0.5138
Er  0.9374  0.0386  0.2771
Er  0.9614  0.7229  0.0626
Mg  0.5000  0.5000  0.5000

---

Record 8
Compound: La2Pm6Hg
Source: Alexandria via LeMat-Bulk
Functional: PBE
Structure: optimized geometry

Results
DFT formation energy   -0.007 eV per atom
Space group   C2/m (12)
VASP energy   -38.7 eV per formula unit
ρ   7.26 Mg/m³
Total magnetization   0.00 μB/cell

abc: 9.6972 9.6972 3.6875
angles: 100.94 100.94 65.89
Atoms (fractional coordinates):
La  0.1396  0.1396  0.1379
La  0.8604  0.8604  0.8621
Pm  0.1616  0.4766  0.8191
Pm  0.2338  0.7662  0.5000
Pm  0.4766  0.1616  0.8191
Pm  0.5234  0.8384  0.1809
Pm  0.7662  0.2338  0.5000
Pm  0.8384  0.5234  0.1809
Hg  0.5000  0.5000  0.0000

---

Record 9
Compound: LiPuNi2
Source: Alexandria via LeMat-Bulk
Functional: PBE
Structure: optimized geometry

Results
DFT formation energy   0.068 eV per atom
Space group   P4/mmm (123)
VASP energy   -27.5 eV per formula unit
ρ   9.83 Mg/m³
Total magnetization   5.00 μB/cell

abc: 4.2873 4.2873 3.3833
angles: 90.00 90.00 90.00
Atoms (fractional coordinates):
Li  0.0000  0.0000  0.0000
Pu  0.5000  0.5000  0.0000
Ni  0.0000  0.5000  0.5000
Ni  0.5000  0.0000  0.5000

---

Record 10
Compound: IO3F
Source: Alexandria via LeMat-Bulk
Functional: PBE
Structure: optimized geometry

Results
Space group   R-3m (166)
VASP energy   -19.2 eV per formula unit
ρ   2.53 Mg/m³
Total magnetization   0.00 μB/cell
Formation energy from raw total energies   -0.173 eV/atom

abc: 8.6582 8.6582 8.6582
angles: 41.22 41.22 41.22
Atoms (fractional coordinates):
I  0.0938  0.0938  0.0938
I  0.9062  0.9062  0.9062
O  0.2431  0.2431  0.7496
O  0.2431  0.7496  0.2431
O  0.2504  0.7569  0.7569
O  0.7496  0.2431  0.2431
O  0.7569  0.2504  0.7569
O  0.7569  0.7569  0.2504
F  0.1745  0.1745  0.1745
F  0.8255  0.8255  0.8255

---

Record 11
Compound: DyMgAs2
Source: Alexandria via LeMat-Bulk
Functional: PBE
Structure: optimized geometry

Results
DFT formation energy   -0.850 eV per atom
Space group   R-3m (166)
VASP energy   -18.9 eV per formula unit
ρ   6.01 Mg/m³
Total magnetization   0.00 μB/cell

abc: 6.8097 6.8097 6.8097
angles: 35.04 35.04 35.04
Atoms (fractional coordinates):
Dy  0.0000  0.0000  0.0000
Mg  0.5000  0.5000  0.5000
As  0.2467  0.2467  0.2467
As  0.7533  0.7533  0.7533

---

Record 12
Compound: Ca2NiPN
Source: Alexandria via LeMat-Bulk
Functional: PBE
Structure: optimized geometry

Results
Space group   P4/mmm (123)
VASP energy   -27.2 eV per formula unit
ρ   3.43 Mg/m³
Total magnetization   0.00 μB/cell
Formation energy from raw total energies   -0.729 eV/atom

abc: 5.0268 5.0268 3.5243
angles: 90.00 90.00 90.00
Atoms (fractional coordinates):
Ca  0.0000  0.5000  0.0000
Ca  0.5000  0.0000  0.0000
Ni  0.0000  0.0000  0.5000
P  0.5000  0.5000  0.5000
N  0.0000  0.0000  0.0000